Record 1
Material: V5O12
Method: DFT, PBEsol
State: relaxed

E above lowest polymorph: 0.052 eV/atom
Raw formation energy: -2241 meV per atom

a b c (Å): 4.860 5.208 7.314
angles (deg): 96.54 90.08 90.20
Space group P1 (No. 1)
Unique sites:
V 0.000 0.000 0.000
V 0.026 0.602 0.244
V 0.056 0.022 0.534
V 0.507 0.493 0.004
V 0.566 0.499 0.539
O 0.131 0.968 0.786
O 0.193 0.307 0.104
O 0.220 0.625 0.445
O 0.317 0.764 0.096
O 0.353 0.152 0.487
O 0.428 0.479 0.782
O 0.704 0.464 0.284
O 0.707 0.159 0.978
O 0.719 0.778 0.589
O 0.833 0.665 0.999
O 0.854 0.284 0.583
O 0.930 0.941 0.291

***

Record 2
Material: Y2HfMn
Method: DFT, PBEsol
State: relaxed

Calculated formation energy: 450.6 meV per atom

a b c (Å): 7.214 7.214 7.214
angles (deg): 90.00 90.00 90.00
Space group Fm-3m (No. 225)
Unique sites:
Y 0.250 0.250 0.250
Hf 0.000 0.000 0.000
Mn 0.000 0.000 0.500

***

Record 3
Material: MnHgN2O
Method: DFT, PBEsol
State: relaxed

Raw formation energy: 416 meV per atom

a b c (Å): 3.542 3.542 4.336
angles (deg): 90.00 90.00 90.00
Space group P4/mmm (No. 123)
Unique sites:
Mn 0.000 0.000 0.000
Hg 0.500 0.500 0.500
N 0.000 0.500 0.000
O 0.000 0.000 0.500

***

Record 4
Material: Ba3CuN
Method: DFT, PBEsol
State: relaxed

Raw formation energy: -56 meV per atom

a b c (Å): 5.475 5.475 5.475
angles (deg): 90.00 90.00 90.00
Space group Pm-3m (No. 221)
Unique sites:
Ba 0.000 0.000 0.500
Cu 0.500 0.500 0.500
N 0.000 0.000 0.000

***

Record 5
Material: ZnSiRh2
Method: DFT, PBEsol
State: relaxed

E above lowest polymorph: 0.359 eV/atom
Raw formation energy: -361 meV per atom

a b c (Å): 3.566 3.566 8.227
angles (deg): 90.00 90.00 90.00
Space group I-4m2 (No. 119)
Unique sites:
Zn 0.000 0.000 0.000
Si 0.000 0.500 0.750
Rh 0.000 0.000 0.500
Rh 0.000 0.500 0.250

***

Record 6
Material: La3HgH
Method: DFT, PBEsol
State: relaxed

Final energy: -4.306 eV/atom

a b c (Å): 4.972 4.972 4.972
angles (deg): 90.00 90.00 90.00
Space group Pm-3m (No. 221)
Unique sites:
La 0.000 0.000 0.500
Hg 0.500 0.500 0.500
H 0.000 0.000 0.000

***

Record 7
Material: YFeSb2
Method: DFT, PBEsol
State: relaxed

Raw formation energy: 100 meV per atom

a b c (Å): 7.060 7.060 7.060
angles (deg): 90.00 90.00 90.00
Space group F-43m (No. 216)
Unique sites:
Y 0.000 0.000 0.000
Fe 0.250 0.250 0.750
Sb 0.000 0.000 0.500
Sb 0.250 0.250 0.250

***

Record 8
Material: KMnF4
Method: DFT, PBEsol
State: relaxed

Raw formation energy: -2624 meV per atom

a b c (Å): 5.739 7.663 7.706
angles (deg): 90.00 90.61 90.00
Space group P2_1/c (No. 14)
Unique sites:
K 0.011 0.192 0.254
Mn 0.500 0.000 0.000
Mn 0.500 0.000 0.500
F 0.207 0.562 0.564
F 0.208 0.577 0.945
F 0.383 0.231 0.497
F 0.406 0.519 0.266